Entry 1:
Material: HgSbSe2
Method: DFT, PBE-GGA
State: optimized geometry

Structure (CIF):
```
data_HgSbSe2
_cell_length_a 5.781
_cell_length_b 8.744
_cell_length_c 4.136
_cell_angle_alpha 90.00
_cell_angle_beta 90.00
_cell_angle_gamma 90.00
_space_group_name_H-M_alt 'C m m m'
_space_group_IT_number 65
_space_group_name_Hall '-C 2 2'
loop_
_atom_site_label
_atom_site_type_symbol
_atom_site_fract_x
_atom_site_fract_y
_atom_site_fract_z
Hg1 Hg 0.000 0.000 0.000
Sb1 Sb 0.000 0.500 0.000
Se1 Se 0.000 0.269 0.500
```

Values from the calculation:
The density of states at the Fermi level comes out at 4.92 states/eV per cell. Its energy above the lowest structure with this stoichiometry is 76.5 meV per atom.

***

Entry 2:
Material: TmNpSn2
Method: DFT, PBE-GGA
State: optimized geometry

Structure (CIF):
```
data_TmNpSn2
_cell_length_a 3.925
_cell_length_b 3.925
_cell_length_c 6.741
_cell_angle_alpha 90.00
_cell_angle_beta 90.00
_cell_angle_gamma 90.00
_space_group_name_H-M_alt 'P 4/m m m'
_space_group_IT_number 123
_space_group_name_Hall '-P 4 2'
loop_
_atom_site_label
_atom_site_type_symbol
_atom_site_fract_x
_atom_site_fract_y
_atom_site_fract_z
Tm1 Tm 0.000 0.000 0.000
Np1 Np 0.000 0.000 0.500
Sn1 Sn 0.500 0.500 0.238
```

Values from the calculation:
The density of states at the Fermi level comes out at 9.43 states/eV per cell. Its energy above the lowest structure with this stoichiometry is 12.5 meV per atom.

***

Entry 3:
Material: Li4AcSb2
Method: DFT, PBE-GGA
State: optimized geometry

Structure (CIF):
```
data_Li4AcSb2
_cell_length_a 8.518
_cell_length_b 8.518
_cell_length_c 4.578
_cell_angle_alpha 90.00
_cell_angle_beta 90.00
_cell_angle_gamma 90.00
_space_group_name_H-M_alt 'P 42/m n m'
_space_group_IT_number 136
_space_group_name_Hall '-P 4n 2n'
loop_
_atom_site_label
_atom_site_type_symbol
_atom_site_fract_x
_atom_site_fract_y
_atom_site_fract_z
Li1 Li 0.095 0.335 0.000
Ac1 Ac 0.000 0.000 0.500
Sb1 Sb 0.215 0.785 0.000
```

Values from the calculation:
The density of states at the Fermi level comes out at 8.15 states/eV per cell. For the electronic total energy, the calculation gives -3.580 eV per atom.

***

Entry 4:
Material: MnNi6Ir2
Method: DFT, PBE-GGA
State: optimized geometry

Structure (CIF):
```
data_MnNi6Ir2
_cell_length_a 4.421
_cell_length_b 4.504
_cell_length_c 5.704
_cell_angle_alpha 74.92
_cell_angle_beta 82.78
_cell_angle_gamma 80.55
_space_group_name_H-M_alt 'P -1'
_space_group_IT_number 2
loop_
_space_group_symop_operation_xyz
'x,y,z'
'-x,-y,-z'
loop_
_atom_site_label
_atom_site_type_symbol
_atom_site_fract_x
_atom_site_fract_y
_atom_site_fract_z
Mn1 Mn 0.000 0.000 0.000
Ni1 Ni 0.110 0.551 0.769
Ni2 Ni 0.223 0.111 0.552
Ni3 Ni 0.329 0.667 0.339
Ir1 Ir 0.445 0.225 0.113
```

Values from the calculation:
The density of states at the Fermi level comes out at 15.93 states/eV per cell. For the electronic total energy, the calculation gives -6.872 eV per atom.

***

Entry 5:
Material: Sr2EuBi
Method: DFT, PBE-GGA
State: optimized geometry

Structure (CIF):
```
data_Sr2EuBi
_cell_length_a 4.575
_cell_length_b 4.575
_cell_length_c 7.660
_cell_angle_alpha 90.00
_cell_angle_beta 90.00
_cell_angle_gamma 90.00
_space_group_name_H-M_alt 'P 4/m m m'
_space_group_IT_number 123
_space_group_name_Hall '-P 4 2'
loop_
_atom_site_label
_atom_site_type_symbol
_atom_site_fract_x
_atom_site_fract_y
_atom_site_fract_z
Sr1 Sr 0.000 0.000 0.220
Eu1 Eu 0.500 0.500 0.500
Bi1 Bi 0.500 0.500 0.000
```

Values from the calculation:
The density of states at the Fermi level comes out at 12.44 states/eV per cell. Its energy above the lowest structure with this stoichiometry is 17.3 meV per atom.

***

Entry 6:
Material: LiTiCoSe2
Method: DFT, PBE-GGA
State: optimized geometry

Structure (CIF):
```
data_LiTiCoSe2
_cell_length_a 4.639
_cell_length_b 4.639
_cell_length_c 3.966
_cell_angle_alpha 90.00
_cell_angle_beta 90.00
_cell_angle_gamma 90.00
_space_group_name_H-M_alt 'P 4/m m m'
_space_group_IT_number 123
_space_group_name_Hall '-P 4 2'
loop_
_atom_site_label
_atom_site_type_symbol
_atom_site_fract_x
_atom_site_fract_y
_atom_site_fract_z
Li1 Li 0.000 0.000 0.000
Ti1 Ti 0.500 0.500 0.000
Co1 Co 0.000 0.000 0.500
Se1 Se 0.000 0.500 0.500
```

Values from the calculation:
The density of states at the Fermi level comes out at 7.40 states/eV per cell. For the electronic total energy, the calculation gives -4.688 eV per atom.